A plane-wave DFT calculation with PBE-GGA was carried out for a geometry-optimized Ba4Ga3 structure.

Cell lengths 13.370, 13.370, 5.246 Å; angles 90.00, 90.00, 120.00 degrees
Fractional coordinates of all 21 atoms:
Ba1 0.029 0.249 0.249
Ba2 0.131 0.610 0.252
Ba3 0.220 0.971 0.249
Ba4 0.249 0.220 0.751
Ba5 0.390 0.520 0.252
Ba6 0.480 0.869 0.252
Ba7 0.520 0.131 0.748
Ba8 0.610 0.480 0.748
Ba9 0.751 0.780 0.249
Ba10 0.780 0.029 0.751
Ba11 0.869 0.390 0.748
Ba12 0.971 0.751 0.751
Ga1 0.000 0.000 0.000
Ga2 0.179 0.446 0.751
Ga3 0.267 0.821 0.751
Ga4 0.333 0.667 0.750
Ga5 0.446 0.267 0.249
Ga6 0.554 0.733 0.751
Ga7 0.667 0.333 0.250
Ga8 0.733 0.179 0.249
Ga9 0.821 0.554 0.249

- Calculated total energy: -0.1966 Ry per atom
- Calculated formation energy: -1.95 eV per formula unit
- Space group: P-3
- Calculated volume: 38.67 A^3/atom